No. 1
Cs3Pu2ScO9 | Alexandria via LeMat-Bulk | PBE | optimized geometry; final energy = -7.86 eV per atom; Fermi-level density of states = 8.93 states/eV per cell
1.0
6.1116 0.0000 0.0000
-3.0558 5.2928 0.0000
0.0000 0.0000 7.4978
O Cs Sc Pu
9 3 1 2
Direct
0.8278 0.1722 0.6730 O
0.3444 0.1722 0.6730 O
0.6556 0.8278 0.3270 O
0.0000 0.5000 0.0000 O
0.8278 0.6556 0.6730 O
0.1722 0.8278 0.3270 O
0.1722 0.3444 0.3270 O
0.5000 0.0000 0.0000 O
0.5000 0.5000 0.0000 O
0.0000 0.0000 0.0000 Cs
0.3333 0.6667 0.6629 Cs
0.6667 0.3333 0.3371 Cs
0.0000 0.0000 0.5000 Sc
0.6667 0.3333 0.8291 Pu
0.3333 0.6667 0.1709 Pu

***

No. 2
NdDyGa2Au2 | Alexandria via LeMat-Bulk | PBE | optimized geometry; final energy = -4.44 eV per atom; Fermi-level density of states = 3.19 states/eV per cell
1.0
-1.8466 3.7275 1.8742
-1.6167 -1.6057 -3.9529
-4.7613 -4.1946 3.6513
Ga Dy Nd Au
2 1 1 2
Direct
0.3333 0.6667 0.7344 Ga
0.6667 0.3333 0.2656 Ga
0.0000 0.0000 0.5000 Dy
0.0000 0.0000 0.0000 Nd
0.3333 0.6667 0.2704 Au
0.6667 0.3333 0.7296 Au

***

No. 3
Pm3Er2In | Alexandria via LeMat-Bulk | PBE | optimized geometry; energy above the lowest structure with this stoichiometry = 55 meV per atom; Fermi-level density of states = 11.74 states/eV per cell
1.0
-1.2898 3.1137 5.9333
-4.7179 -4.2764 1.2185
7.3266 -5.6577 0.6379
Pm Er In
6 4 2
Direct
0.0518 0.0377 0.3367 Pm
0.2207 0.7500 0.0000 Pm
0.2850 0.5377 0.3367 Pm
0.9482 0.9623 0.6633 Pm
0.7793 0.2500 0.0000 Pm
0.7150 0.4623 0.6633 Pm
0.7682 0.5688 0.3230 Er
0.5547 0.0688 0.3230 Er
0.4453 0.9312 0.6770 Er
0.2318 0.4312 0.6770 Er
0.2912 0.2500 0.0000 In
0.7088 0.7500 0.0000 In

***

No. 4
VAs2Pd | Alexandria via LeMat-Bulk | PBE | optimized geometry; final energy = -6.07 eV per atom; Fermi-level density of states = 4.71 states/eV per cell
1.0
-2.8826 1.1061 -0.6979
-2.2828 -0.0364 2.1926
0.3622 7.2285 2.7821
As Pd V
2 1 1
Direct
0.2550 0.2550 0.2350 As
0.0748 0.0748 0.7757 As
0.5074 0.5074 0.4778 Pd
0.6628 0.6628 0.0115 V

***

No. 5
Pm2Al3Zn4Ga | Alexandria via LeMat-Bulk | PBE | optimized geometry; final energy = -3.30 eV per atom; Fermi-level density of states = 1.18 states/eV per cell
1.0
-0.5252 4.0848 0.9784
-3.1858 -1.0300 2.5901
6.9347 -1.0512 8.1116
Ga Zn Pm Al
1 4 2 3
Direct
0.5000 0.5000 0.5000 Ga
0.5000 0.5000 0.0000 Zn
0.0000 0.0000 0.0000 Zn
0.0000 0.5000 0.3618 Zn
0.5000 0.0000 0.6382 Zn
0.5000 0.0000 0.2494 Pm
0.0000 0.5000 0.7506 Pm
0.0000 0.0000 0.5000 Al
0.5000 0.0000 0.8665 Al
0.0000 0.5000 0.1335 Al

***

No. 6
LiHoGa | Alexandria via LeMat-Bulk | PBE | optimized geometry; energy above the lowest structure with this stoichiometry = 384 meV per atom; Fermi-level density of states = 4.50 states/eV per cell
1.0
-4.3102 0.3457 1.2261
0.6484 -3.1284 3.1613
1.8181 5.3193 4.8911
Ga Li Ho
2 2 2
Direct
0.0000 0.5000 0.2338 Ga
0.5000 0.0000 0.7662 Ga
0.5000 0.0000 0.1329 Li
0.0000 0.5000 0.8671 Li
0.5000 0.5000 0.5000 Ho
0.0000 0.0000 0.5000 Ho

***

No. 7
NdY4Mg | Alexandria via LeMat-Bulk | PBE | optimized geometry; energy above the lowest structure with this stoichiometry = 0 meV per atom; Fermi-level density of states = 9.50 states/eV per cell
1.0
3.6404 0.0000 0.0000
0.0000 3.6404 0.0000
0.0000 0.0000 14.2147
Y Nd Mg
4 1 1
Direct
0.0000 0.0000 0.6467 Y
0.5000 0.5000 0.1787 Y
0.0000 0.0000 0.3533 Y
0.5000 0.5000 0.8213 Y
0.0000 0.0000 0.0000 Nd
0.5000 0.5000 0.5000 Mg

***

No. 8
La2C | Alexandria via LeMat-Bulk | PBE | optimized geometry; final energy = -6.48 eV per atom; Fermi-level density of states = 5.17 states/eV per cell
1.0
3.7283 0.0000 0.0000
-1.8642 3.2347 0.0000
0.0000 0.0000 13.8812
C La
2 4
Direct
0.5000 0.5000 0.0000 C
0.0000 0.5000 0.5000 C
0.8355 0.1710 0.1042 La
0.3355 0.1710 0.3958 La
0.1645 0.8290 0.8958 La
0.6645 0.8290 0.6042 La